Entry 1:
Computed, not measured: crystalline PrTh5P6 at its relaxed geometry at the PBE level of DFT.

Computed properties:
The magnetization comes out at 0.0 μB per formula unit. For the density of states at the Fermi level, the calculation gives 6.18 states/eV/cell. For the density, the calculation gives 8.14 Mg/m³. The calculation puts the calculated formation energy at -1552.1 meV/atom.

Cell: 7.189 7.189 7.190 Å, 99.59 99.59 120.02°
Fractional positions:
Pr1 0.000 0.000 0.000
Th1 0.165 0.835 0.500
Th2 0.333 0.667 0.000
Th3 0.500 0.500 0.500
Th4 0.667 0.333 0.000
Th5 0.835 0.165 0.500
P1 0.084 0.421 0.252
P2 0.253 0.253 0.749
P3 0.421 0.084 0.252
P4 0.579 0.916 0.748
P5 0.747 0.747 0.251
P6 0.916 0.579 0.748

---

Entry 2:
Computed, not measured: crystalline Ba2CdOs at its relaxed geometry at the PBE level of DFT.

Computed properties:
The magnetization comes out at 0.6 μB per formula unit. For the density of states at the Fermi level, the calculation gives 5.31 states/eV/cell. For the density, the calculation gives 6.18 Mg/m³. The calculation puts the calculated formation energy at 645.1 meV/atom.

Cell: 9.242 9.242 9.242 Å, 28.14 28.14 28.14°
Fractional positions:
Ba1 0.232 0.232 0.232
Ba2 0.768 0.768 0.768
Cd1 0.000 0.000 0.000
Os1 0.500 0.500 0.500

---

Entry 3:
Computed, not measured: crystalline ScTePb2 at its relaxed geometry at the PBE level of DFT.

Computed properties:
The magnetization comes out at 0.0 μB per formula unit. For the density of states at the Fermi level, the calculation gives 2.93 states/eV/cell. For the density, the calculation gives 8.65 Mg/m³. As for the total energy: -18.03 eV/cell.

Cell: 6.610 6.610 6.610 Å, 143.79 138.25 56.43°
Fractional positions:
Sc1 0.000 0.000 0.000
Te1 0.500 0.500 0.000
Pb1 0.221 0.721 0.500
Pb2 0.779 0.279 0.500

---

Entry 4:
Computed, not measured: crystalline Mo2PbSe at its relaxed geometry at the PBE level of DFT.

Computed properties:
The magnetization comes out at 0.0 μB per formula unit. For the density of states at the Fermi level, the calculation gives 4.72 states/eV/cell. For the density, the calculation gives 10.80 Mg/m³. As for the total energy: -26.82 eV/cell.

Cell: 8.693 8.693 8.693 Å, 20.94 20.94 20.94°
Fractional positions:
Mo1 0.240 0.240 0.240
Mo2 0.760 0.760 0.760
Pb1 0.000 0.000 0.000
Se1 0.500 0.500 0.500

---

Entry 5:
Computed, not measured: crystalline SiBiW2 at its relaxed geometry at the PBE level of DFT.

Computed properties:
The magnetization comes out at 0.0 μB per formula unit. For the density of states at the Fermi level, the calculation gives 8.09 states/eV/cell. For the density, the calculation gives 14.47 Mg/m³. As for the total energy: -31.80 eV/cell.

Cell: 4.612 4.612 4.612 Å, 60.00 60.00 60.00°
Fractional positions:
Si1 0.000 0.000 0.000
Bi1 0.500 0.500 0.500
W1 0.250 0.250 0.250
W2 0.750 0.750 0.750

---

Entry 6:
Computed, not measured: crystalline Li2HfAl2 at its relaxed geometry at the PBE level of DFT.

Computed properties:
The magnetization comes out at 0.0 μB per formula unit. For the density of states at the Fermi level, the calculation gives 6.82 states/eV/cell. For the density, the calculation gives 4.80 Mg/m³. The calculation puts the calculated formation energy at 12.0 meV/atom.

Cell: 7.701 7.701 2.874 Å, 90.00 90.00 90.00°
Fractional positions:
Li1 0.166 0.334 0.000
Li2 0.334 0.834 0.000
Li3 0.666 0.166 0.000
Li4 0.834 0.666 0.000
Hf1 0.000 0.000 0.500
Hf2 0.500 0.500 0.500
Al1 0.132 0.632 0.500
Al2 0.368 0.132 0.500
Al3 0.632 0.868 0.500
Al4 0.868 0.368 0.500

---

Entry 7:
Computed, not measured: crystalline La3Ge4Ru4 at its relaxed geometry at the PBE level of DFT.

Computed properties:
The magnetization comes out at 0.0 μB per formula unit. For the density of states at the Fermi level, the calculation gives 7.88 states/eV/cell. For the density, the calculation gives 8.07 Mg/m³. The calculation puts the calculated formation energy at -650.7 meV/atom.

Cell: 6.673 6.673 6.673 Å, 109.47 109.47 109.47°
Fractional positions:
La1 0.000 0.500 0.500
La2 0.500 0.000 0.500
La3 0.500 0.500 0.000
Ge1 0.000 0.000 0.379
Ge2 0.000 0.379 0.000
Ge3 0.379 0.000 0.000
Ge4 0.621 0.621 0.621
Ru1 0.000 0.000 0.741
Ru2 0.000 0.741 0.000
Ru3 0.259 0.259 0.259
Ru4 0.741 0.000 0.000

---

Entry 8:
Computed, not measured: crystalline Sc6HN2O3 at its relaxed geometry at the PBE level of DFT.

Computed properties:
The magnetization comes out at 0.0 μB per formula unit. For the density of states at the Fermi level, the calculation gives 5.21 states/eV/cell. For the density, the calculation gives 4.21 Mg/m³. As for the total energy: -99.27 eV/cell.

Cell: 7.081 7.081 6.385 Å, 103.59 103.59 26.15°
Fractional positions:
Sc1 0.001 0.001 0.261
Sc2 0.330 0.330 0.424
Sc3 0.332 0.332 0.908
Sc4 0.668 0.668 0.092
Sc5 0.670 0.670 0.576
Sc6 0.999 0.999 0.739
H1 0.500 0.500 0.000
N1 0.164 0.164 0.331
N2 0.836 0.836 0.669
O1 0.168 0.168 0.832
O2 0.500 0.500 0.500
O3 0.832 0.832 0.168

---

Entry 9:
Computed, not measured: crystalline LiReTcBi2 at its relaxed geometry at the PBE level of DFT.

Computed properties:
The magnetization comes out at 3.9 μB per formula unit. For the density of states at the Fermi level, the calculation gives 4.71 states/eV/cell. For the density, the calculation gives 9.02 Mg/m³. The calculation puts the calculated formation energy at 1377.5 meV/atom.

Cell: 5.253 5.253 4.732 Å, 90.00 90.00 90.00°
Fractional positions:
Li1 0.000 0.000 0.000
Re1 0.000 0.000 0.500
Tc1 0.500 0.500 0.000
Bi1 0.000 0.500 0.500
Bi2 0.500 0.000 0.500

---

Entry 10:
Computed, not measured: crystalline Pm2HgBr at its relaxed geometry at the PBE level of DFT.

Computed properties:
The magnetization comes out at 0.0 μB per formula unit. For the density of states at the Fermi level, the calculation gives 4.14 states/eV/cell. For the density, the calculation gives 8.77 Mg/m³. As for the total energy: -14.34 eV/cell.

Cell: 3.562 3.562 8.511 Å, 90.00 90.00 90.00°
Fractional positions:
Pm1 0.000 0.000 0.242
Pm2 0.000 0.000 0.758
Hg1 0.500 0.500 0.000
Br1 0.500 0.500 0.500

---

Entry 11:
Computed, not measured: crystalline LaSc2Rh at its relaxed geometry at the PBE level of DFT.

Computed properties:
The magnetization comes out at 0.0 μB per formula unit. For the density of states at the Fermi level, the calculation gives 4.84 states/eV/cell. For the density, the calculation gives 5.38 Mg/m³. The calculation puts the calculated formation energy at -344.7 meV/atom.

Cell: 3.832 3.578 7.709 Å, 90.00 104.22 90.00°
Fractional positions:
La1 0.000 0.000 0.000
Sc1 0.290 0.000 0.587
Sc2 0.657 0.500 0.317
Rh1 0.830 0.500 0.670

---

Entry 12:
Computed, not measured: crystalline KGeTeI2 at its relaxed geometry at the PBE level of DFT.

Computed properties:
The magnetization comes out at 0.3 μB per formula unit. For the density of states at the Fermi level, the calculation gives 5.71 states/eV/cell. For the density, the calculation gives 4.13 Mg/m³. As for the total energy: -14.31 eV/cell.

Cell: 5.972 5.972 5.564 Å, 90.00 90.00 90.00°
Fractional positions:
K1 0.000 0.000 0.000
Ge1 0.500 0.500 0.500
Te1 0.500 0.500 0.000
I1 0.000 0.500 0.500
I2 0.500 0.000 0.500

---

Entry 13:
Computed, not measured: crystalline PaVSb at its relaxed geometry at the PBE level of DFT.

Computed properties:
The magnetization comes out at 0.0 μB per formula unit. For the density of states at the Fermi level, the calculation gives 8.52 states/eV/cell. For the density, the calculation gives 9.51 Mg/m³. As for the total energy: -45.47 eV/cell.

Cell: 14.504 14.504 14.504 Å, 167.58 167.58 17.60°
Fractional positions:
Pa1 0.157 0.157 0.000
Pa2 0.843 0.843 0.000
V1 0.272 0.272 0.000
V2 0.728 0.728 0.000
Sb1 0.432 0.432 0.000
Sb2 0.568 0.568 0.000

---

Entry 14:
Computed, not measured: crystalline K2HfVSb at its relaxed geometry at the PBE level of DFT.

Computed properties:
The magnetization comes out at 2.2 μB per formula unit. For the density of states at the Fermi level, the calculation gives 4.79 states/eV/cell. For the density, the calculation gives 3.59 Mg/m³. As for the total energy: -18.50 eV/cell.

Cell: 6.560 6.560 4.614 Å, 90.00 90.00 90.00°
Fractional positions:
K1 0.000 0.500 0.000
K2 0.500 0.000 0.000
Hf1 0.000 0.000 0.000
V1 0.000 0.000 0.500
Sb1 0.500 0.500 0.500

---

Entry 15:
Computed, not measured: crystalline CuReSi2 at its relaxed geometry at the PBE level of DFT.

Computed properties:
The magnetization comes out at 0.0 μB per formula unit. For the density of states at the Fermi level, the calculation gives 2.67 states/eV/cell. For the density, the calculation gives 9.72 Mg/m³. As for the total energy: -27.02 eV/cell.

Cell: 4.116 4.116 3.085 Å, 90.00 90.00 90.09°
Fractional positions:
Cu1 0.000 0.000 0.000
Re1 0.500 0.500 0.000
Si1 0.000 0.500 0.500
Si2 0.500 0.000 0.500

---

Entry 16:
Computed, not measured: crystalline Nd6Sn3Bi at its relaxed geometry at the PBE level of DFT.

Computed properties:
The magnetization comes out at 0.0 μB per formula unit. For the density of states at the Fermi level, the calculation gives 20.05 states/eV/cell. For the density, the calculation gives 7.09 Mg/m³. The calculation puts the calculated formation energy at -531.8 meV/atom.

Cell: 9.476 9.476 8.054 Å, 90.00 90.00 112.17°
Fractional positions:
Nd1 0.024 0.976 0.500
Nd2 0.091 0.510 0.005
Nd3 0.247 0.332 0.644
Nd4 0.285 0.715 0.602
Nd5 0.332 0.247 0.144
Nd6 0.490 0.909 0.005
Nd7 0.510 0.091 0.505
Nd8 0.668 0.753 0.644
Nd9 0.715 0.285 0.102
Nd10 0.753 0.668 0.144
Nd11 0.909 0.490 0.505
Nd12 0.976 0.024 0.000
Sn1 0.027 0.271 0.297
Sn2 0.271 0.027 0.797
Sn3 0.438 0.562 0.921
Sn4 0.562 0.438 0.421
Sn5 0.729 0.973 0.297
Sn6 0.973 0.729 0.797
Bi1 0.173 0.827 0.240
Bi2 0.827 0.173 0.740

---

Entry 17:
Computed, not measured: crystalline Re3HPd at its relaxed geometry at the PBE level of DFT.

Computed properties:
The magnetization comes out at 0.0 μB per formula unit. For the density of states at the Fermi level, the calculation gives 2.85 states/eV/cell. For the density, the calculation gives 17.95 Mg/m³. As for the total energy: -44.82 eV/cell.

Cell: 3.950 3.950 3.950 Å, 90.00 90.00 90.00°
Fractional positions:
Re1 0.000 0.000 0.500
Re2 0.000 0.500 0.000
Re3 0.500 0.000 0.000
H1 0.000 0.000 0.000
Pd1 0.500 0.500 0.500

---

Entry 18:
Computed, not measured: crystalline Ca2Nd2Tm at its relaxed geometry at the PBE level of DFT.

Computed properties:
The magnetization comes out at 0.0 μB per formula unit. For the density of states at the Fermi level, the calculation gives 7.20 states/eV/cell. For the density, the calculation gives 4.77 Mg/m³. The calculation puts the calculated formation energy at 386.1 meV/atom.

Cell: 9.438 9.438 9.438 Å, 151.82 151.82 40.28°
Fractional positions:
Ca1 0.250 0.750 0.500
Ca2 0.750 0.250 0.500
Nd1 0.088 0.088 0.000
Nd2 0.912 0.912 0.000
Tm1 0.500 0.500 0.000

---

Entry 19:
Computed, not measured: crystalline SCl2O at its relaxed geometry at the PBE level of DFT.

Computed properties:
The magnetization comes out at 0.0 μB per formula unit. For the density of states at the Fermi level, the calculation gives 0.00 states/eV/cell. For the density, the calculation gives 1.46 Mg/m³. As for the total energy: -15.13 eV/cell.

Cell: 4.642 5.529 5.922 Å, 72.15 70.68 78.47°
Fractional positions:
S1 0.000 0.000 0.000
Cl1 0.080 0.609 0.175
Cl2 0.221 0.984 0.631
O1 0.673 0.060 0.028

---

Entry 20:
Computed, not measured: crystalline TbHo3Tm7 at its relaxed geometry at the PBE level of DFT.

Computed properties:
The magnetization comes out at 0.0 μB per formula unit. For the density of states at the Fermi level, the calculation gives 17.52 states/eV/cell. For the density, the calculation gives 8.61 Mg/m³. The calculation puts the calculated formation energy at 197.8 meV/atom.

Cell: 6.943 6.943 8.480 Å, 90.00 90.00 120.00°
Fractional positions:
Tb1 0.000 0.000 0.000
Ho1 0.167 0.334 0.664
Ho2 0.167 0.833 0.664
Ho3 0.666 0.833 0.664
Tm1 0.002 0.501 0.000
Tm2 0.331 0.166 0.329
Tm3 0.333 0.667 0.329
Tm4 0.499 0.501 0.000
Tm5 0.499 0.998 0.000
Tm6 0.834 0.166 0.329
Tm7 0.834 0.669 0.329

---

Entry 21:
Computed, not measured: crystalline PuGe2Au8 at its relaxed geometry at the PBE level of DFT.

Computed properties:
The magnetization comes out at 5.5 μB per formula unit. For the density of states at the Fermi level, the calculation gives 18.52 states/eV/cell. For the density, the calculation gives 15.04 Mg/m³. The calculation puts the calculated formation energy at -103.7 meV/atom.

Cell: 7.447 7.447 8.029 Å, 118.59 118.59 34.25°
Fractional positions:
Pu1 0.000 0.000 0.000
Ge1 0.272 0.272 0.287
Ge2 0.728 0.728 0.713
Au1 0.092 0.092 0.467
Au2 0.185 0.185 0.891
Au3 0.337 0.337 0.698
Au4 0.455 0.455 0.260
Au5 0.545 0.545 0.740
Au6 0.663 0.663 0.302
Au7 0.815 0.815 0.109
Au8 0.908 0.908 0.533

---

Entry 22:
Computed, not measured: crystalline CuIr2Cl at its relaxed geometry at the PBE level of DFT.

Computed properties:
The magnetization comes out at 0.0 μB per formula unit. For the density of states at the Fermi level, the calculation gives 4.18 states/eV/cell. For the density, the calculation gives 13.61 Mg/m³. As for the total energy: -22.20 eV/cell.

Cell: 8.380 8.380 8.380 Å, 19.78 19.78 19.78°
Fractional positions:
Cu1 0.000 0.000 0.000
Ir1 0.250 0.250 0.250
Ir2 0.500 0.500 0.500
Cl1 0.743 0.743 0.743

---

Entry 23:
Computed, not measured: crystalline KTbPr2S4 at its relaxed geometry at the PBE level of DFT.

Computed properties:
The magnetization comes out at 0.0 μB per formula unit. For the density of states at the Fermi level, the calculation gives 2.70 states/eV/cell. For the density, the calculation gives 5.09 Mg/m³. As for the total energy: -46.76 eV/cell.

Cell: 7.146 4.079 7.186 Å, 90.00 108.78 90.00°
Fractional positions:
K1 0.000 0.000 0.000
Tb1 0.000 0.500 0.500
Pr1 0.500 0.000 0.500
Pr2 0.500 0.500 0.000
S1 0.243 0.000 0.735
S2 0.256 0.500 0.268
S3 0.744 0.500 0.732
S4 0.757 0.000 0.265

---

Entry 24:
Computed, not measured: crystalline MnAl2Cd2Au5 at its relaxed geometry at the PBE level of DFT.

Computed properties:
The magnetization comes out at 4.1 μB per formula unit. For the density of states at the Fermi level, the calculation gives 6.07 states/eV/cell. For the density, the calculation gives 11.41 Mg/m³. The calculation puts the calculated formation energy at -167.4 meV/atom.

Cell: 11.472 11.472 2.916 Å, 90.00 90.00 90.00°
Fractional positions:
Mn1 0.000 0.000 0.000
Mn2 0.500 0.500 0.000
Al1 0.140 0.360 0.000
Al2 0.360 0.860 0.000
Al3 0.640 0.140 0.000
Al4 0.860 0.640 0.000
Cd1 0.160 0.660 0.000
Cd2 0.340 0.160 0.000
Cd3 0.660 0.840 0.000
Cd4 0.840 0.340 0.000
Au1 0.000 0.500 0.500
Au2 0.109 0.169 0.500
Au3 0.169 0.891 0.500
Au4 0.331 0.391 0.500
Au5 0.391 0.669 0.500
Au6 0.500 0.000 0.500
Au7 0.609 0.331 0.500
Au8 0.669 0.609 0.500
Au9 0.831 0.109 0.500
Au10 0.891 0.831 0.500

---

Entry 25:
Computed, not measured: crystalline BaCa2TiP at its relaxed geometry at the PBE level of DFT.

Computed properties:
The magnetization comes out at 0.1 μB per formula unit. For the density of states at the Fermi level, the calculation gives 12.27 states/eV/cell. For the density, the calculation gives 2.44 Mg/m³. The calculation puts the calculated formation energy at 1391.3 meV/atom.

Cell: 6.090 6.090 5.446 Å, 90.00 90.00 90.00°
Fractional positions:
Ba1 0.000 0.000 0.000
Ca1 0.000 0.500 0.000
Ca2 0.500 0.000 0.000
Ti1 0.500 0.500 0.500
P1 0.000 0.000 0.500